First-principles (PBE) data for a relaxed Li2Zr2CoSn2Ir crystal, as listed in OQMD.

abc: 4.5180 4.5180 6.4265
angles: 90.00 90.00 90.00
Fractional coordinates of all 8 atoms:
Co  0.0000  0.0000  0.0000
Zr  0.0000  0.5000  0.7564
Ir  0.5000  0.5000  0.5000
Zr  0.5000  0.0000  0.2436
Li  0.0000  0.0000  0.5000
Sn  0.0000  0.5000  0.2415
Sn  0.5000  0.0000  0.7585
Li  0.5000  0.5000  0.0000

Calculated values
Its space group is P-4m2. For the raw total energy, the calculation gives -49.9 eV/cell.

---

First-principles (PBE) data for a relaxed LuZnCoIr crystal, as listed in OQMD.

abc: 4.5100 4.5100 4.5100
angles: 60.00 60.00 60.00
Fractional coordinates of all 4 atoms:
Zn  0.0000  0.0000  0.0000
Ir  0.5000  0.5000  0.5000
Lu  0.2500  0.2500  0.2500
Co  0.7500  0.7500  0.7500

Calculated values
Its space group is F-43m. The calculation puts the distance to the lowest polymorph of the same formula at 0.77 eV per formula unit. The calculated formation energy is -0.5 eV/f.u.

---

First-principles (PBE) data for a relaxed LuZnCoIr crystal, as listed in OQMD.

abc: 4.4418 4.4418 4.4418
angles: 60.00 60.00 60.00
Fractional coordinates of all 4 atoms:
Zn  0.0000  0.0000  0.0000
Co  0.7500  0.7500  0.7500
Lu  0.5000  0.5000  0.5000
Ir  0.2500  0.2500  0.2500

Calculated values
Its space group is F-43m. The calculation puts the distance to the lowest polymorph of the same formula at 0.00 eV per formula unit. The calculated formation energy is -1.3 eV/f.u.

---

First-principles (PBE) data for a relaxed MgCoSbIr crystal, as listed in OQMD.

abc: 4.4376 4.4376 4.4376
angles: 60.00 60.00 60.00
Fractional coordinates of all 4 atoms:
Co  0.7500  0.7500  0.7500
Ir  0.2500  0.2500  0.2500
Sb  0.0000  0.0000  0.0000
Mg  0.5000  0.5000  0.5000

Calculated values
Its space group is F-43m. The calculation puts the distance to the lowest polymorph of the same formula at 0.00 eV per formula unit.

---

First-principles (PBE) data for a relaxed MgTlCoIr crystal, as listed in OQMD.

abc: 4.4844 4.4844 4.4844
angles: 60.00 60.00 60.00
Fractional coordinates of all 4 atoms:
Ir  0.2500  0.2500  0.2500
Tl  0.0000  0.0000  0.0000
Co  0.7500  0.7500  0.7500
Mg  0.5000  0.5000  0.5000

Calculated values
Its space group is F-43m. The calculation puts the distance to the lowest polymorph of the same formula at 0.00 eV per formula unit.

---

First-principles (PBE) data for a relaxed MgZnCoIr crystal, as listed in OQMD.

abc: 4.2647 4.2647 4.2647
angles: 60.00 60.00 60.00
Fractional coordinates of all 4 atoms:
Zn  0.0000  0.0000  0.0000
Mg  0.5000  0.5000  0.5000
Co  0.7500  0.7500  0.7500
Ir  0.2500  0.2500  0.2500

Calculated values
Its space group is F-43m. The calculation puts the distance to the lowest polymorph of the same formula at 0.00 eV per formula unit.

---

First-principles (PBE) data for a relaxed Co2MoIr crystal, as listed in OQMD.

abc: 4.1838 5.2930 5.2930
angles: 60.35 90.00 90.00
Fractional coordinates of all 8 atoms:
Co  0.5000  0.1630  0.1630
Co  0.0000  0.8330  0.8330
Co  0.0000  0.3316  0.8416
Ir  0.5000  0.1630  0.6767
Mo  0.0000  0.3260  0.3260
Co  0.0000  0.8416  0.3316
Ir  0.5000  0.6767  0.1630
Mo  0.5000  0.6652  0.6652

Calculated values
Its space group is Amm2. The calculated formation energy is -0.5 eV/f.u.

---

First-principles (PBE) data for a relaxed Co2MoIr crystal, as listed in OQMD.

abc: 5.2438 5.2438 4.1882
angles: 90.00 90.00 118.98
Fractional coordinates of all 8 atoms:
Co  0.8309  0.6717  0.2500
Co  0.1691  0.3283  0.7500
Co  0.6717  0.8309  0.7500
Ir  0.3389  0.6611  0.2500
Ir  0.6611  0.3389  0.7500
Mo  0.1619  0.8381  0.7500
Co  0.3283  0.1691  0.2500
Mo  0.8381  0.1619  0.2500

Calculated values
Its space group is Cmcm. The calculated formation energy is -0.6 eV/f.u.

---

First-principles (PBE) data for a relaxed Co3Mo2Ir3 crystal, as listed in OQMD.

abc: 5.3415 4.2580 5.3554
angles: 90.00 119.59 90.00
Fractional coordinates of all 8 atoms:
Co  0.8282  0.5000  0.6675
Co  0.6700  0.0000  0.8293
Ir  0.1734  0.0000  0.3295
Mo  0.3427  0.5000  0.6728
Ir  0.8278  0.5000  0.1560
Co  0.3325  0.5000  0.1681
Ir  0.1605  0.0000  0.8357
Mo  0.6650  0.0000  0.3411

Calculated values
Its space group is Pm. The calculation puts the distance to the lowest polymorph of the same formula at 0.00 eV per formula unit. The calculated formation energy is -1.6 eV/f.u.

---

First-principles (PBE) data for a relaxed Co3Mo2Ir3 crystal, as listed in OQMD.

abc: 5.3976 5.3976 4.2205
angles: 90.00 90.00 120.00
Fractional coordinates of all 8 atoms:
Ir  0.8378  0.1622  0.5000
Co  0.1675  0.8325  0.0000
Mo  0.3333  0.6667  0.5000
Ir  0.8378  0.6757  0.5000
Co  0.6649  0.8325  0.0000
Mo  0.6667  0.3333  0.0000
Ir  0.3243  0.1622  0.5000
Co  0.1675  0.3351  0.0000

Calculated values
Its space group is P-6m2. The calculation puts the distance to the lowest polymorph of the same formula at 0.08 eV per formula unit. The calculated formation energy is -1.5 eV/f.u.

---

First-principles (PBE) data for a relaxed Co2MoIr crystal, as listed in OQMD.

abc: 4.2220 5.2980 5.2980
angles: 120.59 90.00 90.00
Fractional coordinates of all 8 atoms:
Co  0.2500  0.8344  0.6725
Co  0.2500  0.8301  0.1587
Mo  0.7500  0.6787  0.3440
Co  0.7500  0.1587  0.8301
Ir  0.7500  0.1555  0.3261
Ir  0.2500  0.3261  0.1555
Co  0.7500  0.6725  0.8344
Mo  0.2500  0.3440  0.6787

Calculated values
Its space group is Ama2. The calculated formation energy is -0.5 eV/f.u.

---

First-principles (PBE) data for a relaxed Co3Mo2Ir3 crystal, as listed in OQMD.

abc: 4.2864 5.3409 5.3409
angles: 60.79 90.00 90.00
Fractional coordinates of all 8 atoms:
Mo  0.5000  0.6613  0.6613
Ir  0.5000  0.6731  0.1697
Co  0.0000  0.8421  0.3298
Co  0.0000  0.3298  0.8421
Ir  0.5000  0.1697  0.6731
Co  0.5000  0.1646  0.1646
Ir  0.0000  0.8339  0.8339
Mo  0.0000  0.3255  0.3255

Calculated values
Its space group is Amm2. The calculation puts the distance to the lowest polymorph of the same formula at 0.15 eV per formula unit. The calculated formation energy is -1.4 eV/f.u.

---

First-principles (PBE) data for a relaxed CoSbMoIr crystal, as listed in OQMD.

abc: 4.4255 4.4255 4.4255
angles: 60.00 60.00 60.00
Fractional coordinates of all 4 atoms:
Co  0.7500  0.7500  0.7500
Mo  0.2500  0.2500  0.2500
Sb  0.0000  0.0000  0.0000
Ir  0.5000  0.5000  0.5000

Calculated values
Its space group is F-43m. The calculation puts the distance to the lowest polymorph of the same formula at 0.00 eV per formula unit.

---

First-principles (PBE) data for a relaxed CoSnMoIr crystal, as listed in OQMD.

abc: 4.4401 4.4401 4.4401
angles: 60.00 60.00 60.00
Fractional coordinates of all 4 atoms:
Mo  0.5000  0.5000  0.5000
Ir  0.2500  0.2500  0.2500
Co  0.7500  0.7500  0.7500
Sn  0.0000  0.0000  0.0000

Calculated values
Its space group is F-43m. The calculation puts the distance to the lowest polymorph of the same formula at 0.00 eV per formula unit.

---

| no. | magnetic moment (μB per cell) | volume (A^3/atom) |
| --- | --- | --- |
| 1 | 0.00 | 16.40 |
| 2 | 2.04 | 16.22 |
| 3 | 0.19 | 15.49 |
| 4 | 1.19 | 15.45 |
| 5 | 0.09 | 15.94 |
| 6 | 1.16 | 13.71 |
| 7 | 1.73 | 12.73 |
| 8 | 1.51 | 12.59 |
| 9 | 1.26 | 13.24 |
| 10 | 1.73 | 13.31 |
| 11 | 1.96 | 12.75 |
| 12 | 1.66 | 13.34 |
| 13 | 0.05 | 15.32 |
| 14 | 2.31 | 15.47 |